A relaxed CdHgSO crystal, computed with PBE.

Unit cell a=7.1869 b=12.5789 c=7.2246 alpha=90.00 beta=90.00 gamma=90.00
Space group Pbca (No. 61)
Asymmetric unit:
1 Cd 0.2472 0.0436 0.0211
2 Hg 0.0089 0.7452 0.2515
3 S 0.0018 0.0340 0.7480
4 O 0.2423 0.2190 0.0940

Output
Relative energy among the computed polymorphs, eV per atom: 0.132

---

A relaxed NiGe2Bi crystal, computed with PBE.

Unit cell a=6.7889 b=6.7889 c=6.7889 alpha=90.00 beta=90.00 gamma=90.00
Space group F-43m (No. 216)
Asymmetric unit:
1 Ni 0.0000 0.0000 0.0000
2 Ge 0.0000 0.0000 0.5000
3 Ge 0.2500 0.2500 0.2500
4 Bi 0.2500 0.2500 0.7500

Output
Total magnetic moment, μB/cell: 0.02

---

A relaxed ZnMo crystal, computed with PBE.

Unit cell a=5.5837 b=5.5837 c=5.5837 alpha=90.00 beta=90.00 gamma=90.00
Space group F-43m (No. 216)
Asymmetric unit:
1 Zn 0.0000 0.0000 0.0000
2 Mo 0.2500 0.2500 0.2500

Output
E_form, eV/atom: 2.09
Total magnetic moment, μB/cell: 0.06
Relative energy among the computed polymorphs, eV per atom: 2.032

---

A relaxed SmTmAsO crystal, computed with PBE.

Unit cell a=4.3574 b=4.3574 c=8.8627 alpha=90.00 beta=90.00 gamma=90.00
Space group P4/nmm (No. 129, origin choice 2)
Asymmetric unit:
1 Sm 0.2500 0.2500 0.1082
2 Tm 0.2500 0.7500 0.5000
3 As 0.2500 0.2500 0.6972
4 O 0.2500 0.7500 0.0000

Output
Total magnetic moment, μB/cell: 0.00
Relative energy among the computed polymorphs, eV per atom: 0.066

---

A relaxed ZrZnCuSi crystal, computed with PBE.

Unit cell a=6.2989 b=6.2989 c=6.2989 alpha=90.00 beta=90.00 gamma=90.00
Space group F-43m (No. 216)
Asymmetric unit:
1 Zr 0.0000 0.0000 0.0000
2 Zn 0.2500 0.2500 0.2500
3 Cu 0.2500 0.2500 0.7500
4 Si 0.0000 0.0000 0.5000

Output
Total magnetic moment, μB/cell: 0.01
Relative energy among the computed polymorphs, eV per atom: 0.120

---

A relaxed GdInPO crystal, computed with PBE.

Unit cell a=4.0699 b=7.6218 c=5.7773 alpha=90.00 beta=90.00 gamma=90.00
Space group Pmc2_1 (No. 26)
Asymmetric unit:
1 Gd 0.0000 0.1898 0.0000
2 In 0.5000 0.3797 0.5579
3 P 0.0000 0.1760 0.4952
4 O 0.5000 0.3117 0.9693

Output
Total magnetic moment, μB/cell: 0.00
Relative energy among the computed polymorphs, eV per atom: 0.105

---

A relaxed La2ZrAs2IrO2 crystal, computed with PBE.

Unit cell a=4.1206 b=4.1206 c=9.1626 alpha=90.00 beta=90.00 gamma=90.00
Space group P-4m2 (No. 115)
Asymmetric unit:
1 La 0.0000 0.5000 0.1310
2 Zr 0.0000 0.0000 0.5000
3 As 0.0000 0.5000 0.6812
4 Ir 0.5000 0.5000 0.5000
5 O 0.0000 0.0000 0.0000
6 O 0.5000 0.5000 0.0000

Output
Total magnetic moment, μB/cell: 0.00

---

A relaxed Be2Pt crystal, computed with PBE.

Unit cell a=4.3080 b=7.3317 c=7.9898 alpha=90.00 beta=90.00 gamma=90.00
Space group Fddd (No. 70, origin choice 2)
Asymmetric unit:
1 Be 0.1250 0.2883 0.1250
2 Pt 0.1250 0.1250 0.6250

Output
Total magnetic moment, μB/cell: 0.00
Relative energy among the computed polymorphs, eV per atom: 0.000

---

A relaxed In2SnIr crystal, computed with PBE.

Unit cell a=6.9749 b=6.9749 c=6.9749 alpha=90.00 beta=90.00 gamma=90.00
Space group F-43m (No. 216)
Asymmetric unit:
1 In 0.0000 0.0000 0.0000
2 In 0.2500 0.2500 0.2500
3 Sn 0.2500 0.2500 0.7500
4 Ir 0.0000 0.0000 0.5000

Output
Total magnetic moment, μB/cell: 0.01

---

A relaxed DyTeAuO crystal, computed with PBE.

Unit cell a=4.0207 b=4.0207 c=10.0430 alpha=90.00 beta=90.00 gamma=90.00
Space group P4/nmm (No. 129, origin choice 2)
Asymmetric unit:
1 Dy 0.2500 0.2500 0.1068
2 Te 0.2500 0.2500 0.7150
3 Au 0.2500 0.7500 0.5000
4 O 0.2500 0.7500 0.0000

Output
Total magnetic moment, μB/cell: 0.00
Relative energy among the computed polymorphs, eV per atom: 0.040

---

A relaxed TbYGa2Pd4 crystal, computed with PBE.

Unit cell a=4.4063 b=4.4063 c=9.0796 alpha=90.00 beta=90.00 gamma=120.00
Space group P-6m2 (No. 187)
Asymmetric unit:
1 Tb 0.0000 0.0000 0.0000
2 Y 0.3333 0.6667 0.5000
3 Ga 0.6667 0.3333 0.2505
4 Pd 0.0000 0.0000 0.3313
5 Pd 0.3333 0.6667 0.1682

Output
Total magnetic moment, μB/cell: 0.00
Relative energy among the computed polymorphs, eV per atom: 0.000

---

A relaxed NdGdAs2Pd2 crystal, computed with PBE.

Unit cell a=4.3563 b=4.3563 c=7.7192 alpha=90.00 beta=90.00 gamma=120.00
Space group P-3m1 (No. 164)
Asymmetric unit:
1 Nd 0.0000 0.0000 0.0000
2 Gd 0.0000 0.0000 0.5000
3 As 0.3333 0.6667 0.2553
4 Pd 0.3333 0.6667 0.7417

Output
Total magnetic moment, μB/cell: 0.00

---

How do the records compare in VASP energy? In the order shown, they have -2.95; -4.32; -3.96; -6.62; -4.70; -5.77; -7.86; -5.15; -4.31; -5.75; -5.62; -6.03 eV/atom.
How do the records compare in theoretical density? In the order shown, they have 7.344; 8.766; 6.156; 8.096; 6.598; 5.912; 7.932; 11.218; 10.582; 10.291; 8.842; 8.694 g/cm3.